1.
Nd4Br | GGA-PBE | optimized geometry

Summary:
* N(E_F): 0.92 states/eV/atom
* final energy: -4.4311 eV per atom
* formation energy from raw total energies: -0.282 eV per atom

Cell: 5.653 5.653 5.653 Å, 90.00 90.00 90.00°
Space group Pm-3m (No. 221)
Asymmetric unit:
Nd1 0.000 0.000 0.000 x1
Nd2 0.000 0.500 0.500 x3
Br1 0.500 0.500 0.500 x1



2.
NdBr | GGA-PBE | optimized geometry

Summary:
* N(E_F): 0.89 states/eV/atom
* final energy: -4.1600 eV per atom
* formation energy from raw total energies: -0.940 eV per atom

Cell: 6.064 6.064 6.064 Å, 90.00 90.00 90.00°
Space group Fm-3m (No. 225)
Asymmetric unit:
Nd1 0.000 0.000 0.000 x4
Br1 0.000 0.000 0.500 x4



3.
NdBr | GGA-PBE | optimized geometry

Summary:
* N(E_F): 0.18 states/eV/atom
* final energy: -4.3766 eV per atom
* formation energy from raw total energies: -1.156 eV per atom

Cell: 4.108 4.108 7.002 Å, 90.00 90.00 90.00°
Space group P4/nmm (No. 129, origin choice 2)
Asymmetric unit:
Nd1 0.250 0.250 0.176 x2
Br1 0.250 0.250 0.656 x2



4.
Nd2Br3 | GGA-PBE | optimized geometry

Summary:
* N(E_F): 0.80 states/eV/atom
* final energy: -4.2283 eV per atom
* formation energy from raw total energies: -1.317 eV per atom

Cell: 6.7767 6.7767 24.1839 Å, 90.00 90.00 120.00°
Space group R-3c (No. 167, hexagonal axes)
Asymmetric unit:
Nd1 0.0000 0.0000 0.1687 x12
Br1 0.0000 0.3370 0.2500 x18



5.
Nd2Br5 | GGA-PBE | optimized geometry

Summary:
* N(E_F): 0.44 states/eV/atom
* final energy: -4.2475 eV per atom
* formation energy from raw total energies: -1.690 eV per atom

Cell: 15.703 6.723 8.094 Å, 90.00 97.04 90.00°
Space group C2/c (No. 15)
Asymmetric unit:
Nd1 0.103 0.214 0.083 x8
Br1 0.000 0.091 0.750 x4
Br2 0.086 0.373 0.424 x8
Br3 0.220 0.075 0.834 x8



6.
NdBr3 | GGA-PBE | optimized geometry

Summary:
* N(E_F): 0.00 states/eV/atom
* final energy: -4.3292 eV per atom
* formation energy from raw total energies: -1.883 eV per atom

Cell: 4.122 14.437 9.281 Å, 90.00 90.00 90.00°
Space group Cmcm (No. 63)
Asymmetric unit:
Nd1 0.000 0.241 0.250 x4
Br1 0.000 0.157 0.567 x8
Br2 0.000 0.402 0.750 x4



7.
NdBr2 | GGA-PBE | optimized geometry

Summary:
* N(E_F): 0.34 states/eV/atom
* final energy: -4.3326 eV per atom
* formation energy from raw total energies: -1.628 eV per atom

Cell: 14.018 4.019 7.207 Å, 90.00 90.00 90.00°
Space group Pnma (No. 62)
Asymmetric unit:
Nd1 0.111 0.250 0.002 x4
Br1 0.045 0.750 0.283 x4
Br2 0.210 0.750 0.759 x4



8.
NdBr2 | GGA-PBE | optimized geometry

Summary:
* N(E_F): 0.01 states/eV/atom
* final energy: -4.4053 eV per atom
* formation energy from raw total energies: -1.701 eV per atom

Cell: 4.021 6.964 31.370 Å, 90.00 90.00 90.00°
Space group C222_1 (No. 20)
Asymmetric unit:
Nd1 0.242 0.000 0.123 x8
Br1 0.242 0.333 0.816 x8
Br2 0.242 0.333 0.938 x8



9.
NdBr2 | GGA-PBE | optimized geometry

Summary:
* N(E_F): 0.67 states/eV/atom
* final energy: -4.3009 eV per atom
* formation energy from raw total energies: -1.596 eV per atom

Cell: 11.586 3.750 8.348 Å, 90.00 90.00 90.00°
Space group Pnma (No. 62)
Asymmetric unit:
Nd1 0.175 0.250 0.132 x4
Br1 0.098 0.750 0.857 x4
Br2 0.125 0.750 0.406 x4



10.
Nd2NiBr2 | GGA-PBE | optimized geometry

Summary:
* N(E_F): 0.34 states/eV/atom
* final energy: -4.8401 eV per atom
* formation energy from raw total energies: -1.108 eV per atom

Cell: 4.0425 4.0425 33.4223 Å, 90.00 90.00 120.00°
Space group R-3m (No. 166, hexagonal axes)
Asymmetric unit:
Nd1 0.0000 0.0000 0.1174 x6
Ni1 0.0000 0.0000 0.5000 x3
Br1 0.0000 0.0000 0.2753 x6



11.
Nd4NiBr5 | GGA-PBE | optimized geometry

Summary:
* N(E_F): 0.56 states/eV/atom
* final energy: -4.6913 eV per atom
* formation energy from raw total energies: -1.370 eV per atom

Cell: 18.967 4.058 8.717 Å, 90.00 103.81 90.00°
Space group C2/m (No. 12)
Asymmetric unit:
Nd1 0.000 0.000 0.216 x4
Nd2 0.151 0.500 0.086 x4
Ni1 0.000 0.500 0.000 x2
Br1 0.000 0.500 0.500 x2
Br2 0.166 0.000 0.345 x4
Br3 0.173 0.000 0.838 x4



12.
Nd4Ni2Br5 | GGA-PBE | optimized geometry

Summary:
* N(E_F): 0.54 states/eV/atom
* final energy: -4.6582 eV per atom
* formation energy from raw total energies: -1.113 eV per atom

Cell: 3.956 8.605 18.685 Å, 90.00 90.00 90.00°
Space group Immm (No. 71)
Asymmetric unit:
Nd1 0.000 0.000 0.193 x4
Nd2 0.000 0.286 0.500 x4
Ni1 0.000 0.000 0.059 x4
Br1 0.000 0.225 0.332 x8
Br2 0.000 0.500 0.000 x2



What is the N(E_F) in the sixth record?
0.00 states/eV/atom